Material: CrReGeRh
Method: DFT, PBE
State: optimized geometry

The density comes out at 12.3 Mg/m³.

It has space group F-43m (No. 216), with a = 6.066 Å, b = 6.066 Å, c = 6.066 Å, α = 90.00°, β = 90.00° and γ = 90.00°. The distinct sites, in fractional coordinates, are Cr at (0.000, 0.000, 0.000), Re at (0.250, 0.250, 0.250), Ge at (0.000, 0.000, 0.500) and Rh at (0.250, 0.250, 0.750).

***

Material: Y2AsPPt6
Method: DFT, PBE
State: optimized geometry

The density comes out at 12.4 Mg/m³.

It has space group Pmmn (No. 59, origin choice 2), with a = 5.569 Å, b = 8.301 Å, c = 8.399 Å, α = 90.00°, β = 90.00° and γ = 90.00°. The distinct sites, in fractional coordinates, are Y at (0.250, 0.002, 0.242), As at (0.250, 0.750, 0.786), P at (0.250, 0.250, 0.754), Pt at (0.001, 0.750, 0.494), Pt at (0.002, 0.250, 0.975) and Pt at (0.250, 0.502, 0.629).

***

no.,calculated formation energy (kJ/mol of formula units)
1,-31.1
2,-844.7